(1)
Material: MnAlZn2Si
Method: DFT, PBE
State: relaxed

Cell lengths 4.6424, 4.7250, 4.6424 Å; angles 90.00, 90.00, 90.00 degrees
Last column: magnetic moment on the atom in μB.
Positions (direct):
Zn (0.0000, 0.0000, 0.5000)  -0.01
Zn (0.5000, 0.0000, 0.0000)  0.01
Mn (0.5000, 0.5000, 0.5000)  0.23
Si (0.0000, 0.5000, 0.0000)  0.02
Al (0.0000, 0.0000, 0.0000)  -0.01

DOS at the Fermi energy, states/eV per cell: 3.75
Formation energy (no corrections), eV/atom: 1.34
Calculated density, Mg/m³: 3.9

---

(2)
Material: Ce2MgU
Method: DFT, PBE
State: relaxed

Cell lengths 3.7088, 3.7088, 10.0780 Å; angles 79.40, 79.40, 60.00 degrees
Positions (direct):
Mg (0.0000, 0.0000, 0.0000)
U (0.5000, 0.5000, 0.5000)
Ce (0.1141, 0.1141, 0.6577)
Ce (0.8859, 0.8859, 0.3423)

DFT formation energy, eV/f.u.: 2.0
DOS at the Fermi energy, states/eV per cell: 5.25
Calculated density, Mg/m³: 7.7

---

(3)
Material: HfNiH2
Method: DFT, PBE
State: relaxed

Cell lengths 3.7182, 3.7182, 3.7182 Å; angles 60.00, 60.00, 60.00 degrees
Positions (direct):
Ni (0.0000, 0.0000, 0.0000)
Hf (0.5000, 0.5000, 0.5000)
H (0.2500, 0.2500, 0.2500)
H (0.7500, 0.7500, 0.7500)

VASP energy, eV/atom: -5.695
DOS at the Fermi energy, states/eV per cell: 2.26
Calculated density, Mg/m³: 10.9

---

What is the calculated density in the first record?
3.9 Mg/m³

---

What is the DOS at the Fermi energy in the first record?
3.75 states/eV per cell

---

What did the third record say?
Material: HfNiH2
Method: DFT, PBE
State: relaxed

Cell lengths 3.7182, 3.7182, 3.7182 Å; angles 60.00, 60.00, 60.00 degrees
Positions (direct):
Ni (0.0000, 0.0000, 0.0000)
Hf (0.5000, 0.5000, 0.5000)
H (0.2500, 0.2500, 0.2500)
H (0.7500, 0.7500, 0.7500)

VASP energy, eV/atom: -5.695
DOS at the Fermi energy, states/eV per cell: 2.26
Calculated density, Mg/m³: 10.9